Density functional theory data (PBE with a Hubbard U) for a relaxed structure of LiTl2Cr3F12.

```
18
Lattice="7.3412 0.0134 0.0095 3.6371 6.3769 0.0095 3.6371 2.1171 6.0152" Properties=species:S:1:pos:R:3 pbc="T T T"
Li 0.0000 0.0000 0.0000
Tl 9.4857 5.5215 3.9163
Tl 5.1298 2.9860 2.1179
Cr 3.6706 0.0067 0.0048
Cr 1.8186 3.1885 0.0048
Cr 1.8186 1.0586 3.0076
F 6.8274 3.9741 5.5928
F 11.3675 6.6168 2.0682
F 9.2133 7.8403 5.5611
F 9.1039 2.6811 1.9017
F 11.3675 4.1394 5.5611
F 6.8274 6.5922 1.9017
F 7.7882 4.5334 0.4414
F 3.2480 1.8906 3.9660
F 5.4022 0.6671 0.4732
F 5.5116 5.8263 4.1325
F 3.2480 4.3680 0.4732
F 7.7882 1.9153 4.1325
```

Results
Crystal system: trigonal
V, Å³/cell: 281.01
Magnetic moment, Bohr magnetons per cell: 9.000
DFT total energy, eV/atom: -5.45